# Ac3Mg9Sn2, optimized geometry, DFT PBE
data_Ac3Mg9Sn2
_chemical_formula_sum 'Ac6 Mg18 Sn4'
_symmetry_space_group_name_H-M 'I m m m'
_symmetry_Int_Tables_number 71
_symmetry_space_group_name_Hall '-I 2 2'
_cell_length_a 4.992
_cell_length_b 11.325
_cell_length_c 14.081
_cell_angle_alpha 90.00
_cell_angle_beta 90.00
_cell_angle_gamma 90.00
loop_
_atom_site_label
_atom_site_fract_x
_atom_site_fract_y
_atom_site_fract_z
Ac1 0.000 0.000 0.000
Ac2 0.000 0.000 0.307
Mg1 0.000 0.277 0.134
Mg2 0.000 0.368 0.339
Mg3 0.000 0.500 0.000
Sn1 0.000 0.202 0.500
# **M_tot**: 0.00 μB per cell
# **Final energy**: -2.678 eV/atom
# **DFT formation energy**: -0.20 eV/atom